[1]
Density functional theory data (PBE-GGA) for an optimized crystal structure of YAuBr2.

The space group is P2/m (No. 10) and the conventional cell measures 5.736, 4.054 and 7.567 Å, with angles of 90.00, 112.17 and 90.00 degrees. The distinct sites, in fractional coordinates, are Y at (0.000, 0.000, 0.000), Au at (0.500, 0.000, 0.000) and Br at (0.139, 0.500, 0.277).

---

[2]
Density functional theory data (PBE-GGA) for an optimized crystal structure of YAuBr2.

The space group is P2/m (No. 10) and the conventional cell measures 4.950, 3.973 and 5.483 Å, with angles of 90.00, 112.26 and 90.00 degrees. The distinct sites, in fractional coordinates, are Y at (0.000, 0.000, 0.000), Au at (0.000, 0.500, 0.500), Br at (0.500, 0.000, 0.500) and Br at (0.500, 0.500, 0.000).

---

[3]
Density functional theory data (PBE-GGA) for an optimized crystal structure of YAu2Br.

The space group is P4/mmm (No. 123) and the conventional cell measures 4.100, 4.100 and 5.312 Å, with angles of 90.00, 90.00 and 90.00 degrees. The distinct sites, in fractional coordinates, are Y at (0.000, 0.000, 0.000), Au at (0.000, 0.500, 0.500) and Br at (0.500, 0.500, 0.000).

---

Number 1: ΔE_f (raw) -1.110 eV per atom, volume 40.74 Å³/atom. Number 2: ΔE_f (raw) -0.654 eV per atom, volume 24.94 Å³/atom. Number 3: ΔE_f (raw) -0.569 eV per atom, volume 22.33 Å³/atom.